{"formula": "Sn3PbAu", "functional": "PBE", "state": "relaxed", "lattice_angstrom": [[5.762, 0.000, 0.000], [0.000, 5.762, 0.000], [0.000, 0.000, 5.762]], "species": ["Sn", "Sn", "Sn", "Pb", "Au"], "fractional_positions": [[0.000, 0.000, 0.500], [0.000, 0.500, 0.000], [0.500, 0.000, 0.000], [0.000, 0.000, 0.000], [0.500, 0.500, 0.500]], "polymorph_energy_ev_per_fu": 4.35, "e_form_mev_per_atom": 921}



{"formula": "Sn4PbAu2", "functional": "PBE", "state": "relaxed", "lattice_angstrom": [[9.143, 0.000, 0.000], [0.000, 9.143, 0.000], [0.000, 0.000, 4.351]], "species": ["Sn", "Sn", "Sn", "Sn", "Sn", "Sn", "Sn", "Sn", "Pb", "Pb", "Au", "Au", "Au", "Au"], "fractional_positions": [[0.083, 0.326, 0.000], [0.174, 0.583, 0.500], [0.326, 0.083, 0.000], [0.417, 0.826, 0.500], [0.583, 0.174, 0.500], [0.674, 0.917, 0.000], [0.826, 0.417, 0.500], [0.917, 0.674, 0.000], [0.000, 0.000, 0.500], [0.500, 0.500, 0.000], [0.194, 0.806, 0.000], [0.306, 0.306, 0.500], [0.694, 0.694, 0.500], [0.806, 0.194, 0.000]], "e_form_mev_per_atom": -45}



{"formula": "Sn2PbAu", "functional": "PBE", "state": "relaxed", "lattice_angstrom": [[4.354, 0.000, 0.000], [0.000, 8.464, 0.000], [-2.155, 0.000, 5.712]], "species": ["Sn", "Sn", "Sn", "Sn", "Pb", "Pb", "Au", "Au"], "fractional_positions": [[0.140, 0.050, 0.280], [0.140, 0.450, 0.280], [0.860, 0.550, 0.720], [0.860, 0.950, 0.720], [0.448, 0.250, 0.894], [0.552, 0.750, 0.106], [0.261, 0.750, 0.518], [0.739, 0.250, 0.482]], "e_form_mev_per_atom": -79}



{"formula": "SnPbAu2", "functional": "PBE", "state": "relaxed", "lattice_angstrom": [[4.991, 0.000, 0.000], [0.000, 4.991, 0.000], [0.000, 0.000, 3.741]], "species": ["Sn", "Pb", "Au", "Au"], "fractional_positions": [[0.000, 0.000, 0.000], [0.500, 0.500, 0.000], [0.000, 0.500, 0.500], [0.500, 0.000, 0.500]], "e_form_mev_per_atom": -28}



{"formula": "Sn12Pb6Au", "functional": "PBE", "state": "relaxed", "lattice_angstrom": [[5.960, 3.441, 4.663], [-5.960, 3.441, 4.663], [0.000, -6.882, 4.663]], "species": ["Sn", "Sn", "Sn", "Sn", "Sn", "Sn", "Sn", "Sn", "Sn", "Sn", "Sn", "Sn", "Pb", "Pb", "Pb", "Pb", "Pb", "Pb", "Au"], "fractional_positions": [[0.154, 0.822, 0.252], [0.178, 0.748, 0.846], [0.200, 0.554, 0.511], [0.252, 0.154, 0.822], [0.446, 0.489, 0.800], [0.489, 0.800, 0.446], [0.511, 0.200, 0.554], [0.554, 0.511, 0.200], [0.748, 0.846, 0.178], [0.800, 0.446, 0.489], [0.822, 0.252, 0.154], [0.846, 0.178, 0.748], [0.104, 0.178, 0.449], [0.178, 0.449, 0.104], [0.449, 0.104, 0.178], [0.551, 0.896, 0.822], [0.822, 0.551, 0.896], [0.896, 0.822, 0.551], [0.000, 0.000, 0.000]], "e_form_mev_per_atom": 68}



{"formula": "SnPbAu2", "functional": "PBE", "state": "relaxed", "lattice_angstrom": [[3.730, 0.000, 0.000], [0.000, 3.730, 0.000], [0.000, 0.000, 6.716]], "species": ["Sn", "Pb", "Au", "Au"], "fractional_positions": [[0.000, 0.000, 0.000], [0.000, 0.000, 0.500], [0.500, 0.500, 0.229], [0.500, 0.500, 0.771]], "e_form_mev_per_atom": -39}



{"formula": "SnPbAu2", "functional": "PBE", "state": "relaxed", "lattice_angstrom": [[4.044, 0.000, 0.000], [0.000, 4.273, 0.000], [-1.867, 0.000, 5.525]], "species": ["Sn", "Pb", "Au", "Au"], "fractional_positions": [[0.000, 0.000, 0.000], [0.297, 0.500, 0.575], [0.545, 0.500, 0.105], [0.752, 0.000, 0.465]], "e_form_mev_per_atom": -113}



{"formula": "Sn4Pb3Au3", "functional": "PBE", "state": "relaxed", "lattice_angstrom": [[-5.107, 5.107, 5.107], [5.107, -5.107, 5.107], [5.107, 5.107, -5.107]], "species": ["Sn", "Sn", "Sn", "Sn", "Sn", "Sn", "Sn", "Sn", "Pb", "Pb", "Pb", "Pb", "Pb", "Pb", "Au", "Au", "Au", "Au", "Au", "Au"], "fractional_positions": [[0.000, 0.173, 0.500], [0.000, 0.673, 0.500], [0.173, 0.500, 0.000], [0.327, 0.327, 0.327], [0.500, 0.000, 0.173], [0.500, 0.000, 0.673], [0.673, 0.500, 0.000], [0.827, 0.827, 0.827], [0.125, 0.875, 0.250], [0.250, 0.125, 0.875], [0.375, 0.625, 0.750], [0.625, 0.750, 0.375], [0.750, 0.375, 0.625], [0.875, 0.250, 0.125], [0.125, 0.750, 0.875], [0.250, 0.625, 0.375], [0.375, 0.250, 0.625], [0.625, 0.375, 0.250], [0.750, 0.875, 0.125], [0.875, 0.125, 0.750]], "e_form_mev_per_atom": -71}



{"formula": "SnPbAu6", "functional": "PBE", "state": "relaxed", "lattice_angstrom": [[5.497, 0.000, 0.000], [0.000, 5.497, 0.000], [0.000, 0.000, 5.497]], "species": ["Sn", "Pb", "Au", "Au", "Au", "Au", "Au", "Au"], "fractional_positions": [[0.000, 0.000, 0.000], [0.500, 0.500, 0.500], [0.000, 0.500, 0.248], [0.000, 0.500, 0.752], [0.248, 0.000, 0.500], [0.500, 0.248, 0.000], [0.500, 0.752, 0.000], [0.752, 0.000, 0.500]], "e_form_mev_per_atom": 26}



{"formula": "SnPb2Au7", "functional": "PBE", "state": "relaxed", "lattice_angstrom": [[4.042, 0.000, 0.000], [0.000, 4.042, 0.000], [0.000, 0.000, 13.775]], "species": ["Sn", "Pb", "Pb", "Au", "Au", "Au", "Au", "Au", "Au", "Au"], "fractional_positions": [[0.000, 0.000, 0.000], [0.000, 0.500, 0.743], [0.500, 0.000, 0.257], [0.000, 0.000, 0.500], [0.000, 0.500, 0.152], [0.000, 0.500, 0.352], [0.500, 0.000, 0.648], [0.500, 0.000, 0.848], [0.500, 0.500, 0.000], [0.500, 0.500, 0.500]], "e_form_mev_per_atom": -40}



{"formula": "Sn3PbAu2", "functional": "PBE", "state": "relaxed", "lattice_angstrom": [[7.478, -2.279, 0.000], [7.478, 2.279, 0.000], [-5.395, 0.000, 9.370]], "species": ["Sn", "Sn", "Sn", "Sn", "Sn", "Sn", "Pb", "Pb", "Au", "Au", "Au", "Au"], "fractional_positions": [[0.066, 0.066, 0.159], [0.309, 0.309, 0.487], [0.329, 0.329, 0.982], [0.671, 0.671, 0.018], [0.691, 0.691, 0.513], [0.934, 0.934, 0.841], [0.084, 0.084, 0.664], [0.916, 0.916, 0.336], [0.267, 0.267, 0.198], [0.491, 0.491, 0.748], [0.509, 0.509, 0.252], [0.733, 0.733, 0.802]], "e_form_mev_per_atom": -104}



{"formula": "Sn2PbAu", "functional": "PBE", "state": "relaxed", "lattice_angstrom": [[2.192, 1.266, 6.796], [-2.192, 1.266, 6.796], [0.000, -2.531, 6.796]], "species": ["Sn", "Sn", "Pb", "Au"], "fractional_positions": [[0.000, 0.000, 0.000], [0.208, 0.208, 0.208], [0.765, 0.765, 0.765], [0.604, 0.604, 0.604]], "e_form_mev_per_atom": -39}